{"formula": "BeReAs2Br", "functional": "PBE-GGA", "state": "optimized geometry", "lattice": [[4.731, 0.000, 0.000], [0.000, 4.731, 0.000], [0.000, 0.000, 5.533]], "species": ["Be", "Re", "As", "As", "Br"], "frac_coords": [[0.000, 0.000, 0.000], [0.500, 0.500, 0.500], [0.000, 0.500, 0.500], [0.500, 0.000, 0.500], [0.500, 0.500, 0.000]], "total_energy_ev_per_atom": -4.483, "sg": "No. 123", "formation_energy_uncorrected_ev_per_atom": 0.95}

{"formula": "LaPa", "functional": "PBE-GGA", "state": "optimized geometry", "lattice": [[3.485, 0.000, 0.000], [0.000, 3.485, 0.000], [0.000, 0.000, 9.974]], "species": ["La", "La", "Pa", "Pa"], "frac_coords": [[0.250, 0.250, 0.162], [0.750, 0.750, 0.838], [0.250, 0.250, 0.601], [0.750, 0.750, 0.399]], "total_energy_ev_per_atom": -7.097, "sg": "No. 129", "delta_e_f_ev_per_atom": 0.115}

{"formula": "Pm2ScAlPt2", "functional": "PBE-GGA", "state": "optimized geometry", "lattice": [[-3.082, 6.947, 3.168], [3.082, -6.947, 3.168], [3.082, 6.947, -3.168]], "species": ["Pm", "Pm", "Pm", "Pm", "Sc", "Sc", "Al", "Al", "Pt", "Pt", "Pt", "Pt"], "frac_coords": [[0.179, 0.240, 0.419], [0.321, 0.740, 0.062], [0.679, 0.260, 0.938], [0.821, 0.760, 0.581], [0.250, 0.750, 0.500], [0.750, 0.250, 0.500], [0.250, 0.250, 0.000], [0.750, 0.750, 0.000], [0.111, 0.760, 0.870], [0.389, 0.260, 0.649], [0.611, 0.740, 0.351], [0.889, 0.240, 0.130]], "total_energy_ev_per_atom": -6.246, "sg": "No. 72", "delta_e_f_ev_per_atom": -0.970}

Question: Number 3 is which compound?
Answer: Pm2ScAlPt2